Record 1
# Li2CrRh

A geometry-optimized Li2CrRh structure (GGA-PBEsol, Alexandria).

Calculated values
Spin magnetization in μB per cell: 0.6
Symmetry: F-43m
Raw total energy in Ry per atom: -0.3954
Distance to the lowest polymorph of the same formula in kJ/mol of formula units: 12.2
Crystal system: cubic

a = 4.069 Å, b = 4.069 Å, c = 4.069 Å
α = 60.00°, β = 60.00°, γ = 60.00°
Sites, in units of the cell vectors:
Cr  0.500  0.500  0.500
Li  0.000  0.000  0.000
Li  0.750  0.750  0.750
Rh  0.250  0.250  0.250

***

Record 2
# Li2CrRh

A geometry-optimized Li2CrRh structure (GGA-PBEsol, Alexandria).

Calculated values
Spin magnetization in μB per cell: 2.3
Symmetry: Pmm2
Raw total energy in Ry per atom: -0.3977
Distance to the lowest polymorph of the same formula in kJ/mol of formula units: 0.0
Crystal system: orthorhombic

a = 2.736 Å, b = 3.596 Å, c = 5.691 Å
α = 90.00°, β = 90.00°, γ = 90.00°
Sites, in units of the cell vectors:
Cr  0.500  0.500  0.706
Li  0.000  0.000  0.006
Li  0.500  0.500  0.254
Rh  0.000  0.000  0.535

***

Record 3
# LiCr2Rh

A geometry-optimized LiCr2Rh structure (GGA-PBEsol, Alexandria).

Calculated values
Spin magnetization in μB per cell: 4.6
Symmetry: P4/mmm
Raw total energy in Ry per atom: -0.5281
Crystal system: tetragonal

a = 2.831 Å, b = 4.240 Å, c = 4.240 Å
α = 90.00°, β = 90.00°, γ = 90.00°
Sites, in units of the cell vectors:
Cr  0.000  0.000  0.500
Cr  0.000  0.500  0.000
Li  0.500  0.500  0.500
Rh  0.500  0.000  0.000

***

Record 4
# LiCrS2

A geometry-optimized LiCrS2 structure (GGA-PBEsol, Alexandria).

Calculated values
Spin magnetization in μB per cell: 3.0
Symmetry: P-3m1
Raw total energy in Ry per atom: -0.4591
Formation energy from raw total energies in kJ/mol of formula units: -387
Crystal system: trigonal

a = 3.455 Å, b = 3.455 Å, c = 5.883 Å
α = 90.00°, β = 90.00°, γ = 120.00°
Sites, in units of the cell vectors:
Cr  0.000  0.000  0.000
S  0.333  0.667  0.222
S  0.667  0.333  0.778
Li  0.000  0.000  0.500

***

Record 5
# LiCr2S4

A geometry-optimized LiCr2S4 structure (GGA-PBEsol, Alexandria).

Calculated values
Spin magnetization in μB per cell: 0.0
Symmetry: C2/m
Raw total energy in Ry per atom: -0.4834
Formation energy from raw total energies in kJ/mol of formula units: -584
Crystal system: monoclinic

a = 3.019 Å, b = 5.513 Å, c = 6.824 Å
α = 109.58°, β = 102.78°, γ = 90.00°
Sites, in units of the cell vectors:
Cr  0.755  0.807  0.510
Cr  0.245  0.193  0.490
S  0.376  0.033  0.753
S  0.624  0.967  0.247
S  0.847  0.508  0.694
S  0.153  0.492  0.306
Li  0.500  0.500  0.000

***

Record 6
# Li3Cr4S8

A geometry-optimized Li3Cr4S8 structure (GGA-PBEsol, Alexandria).

Calculated values
Spin magnetization in μB per cell: 11.0
Symmetry: R3m
Raw total energy in Ry per atom: -0.4655
Formation energy from raw total energies in kJ/mol of formula units: -1260
Crystal system: trigonal

a = 6.836 Å, b = 6.836 Å, c = 7.528 Å
α = 63.00°, β = 63.00°, γ = 60.00°
Sites, in units of the cell vectors:
Li  0.136  0.644  0.577
Li  0.644  0.644  0.577
Li  0.644  0.136  0.577
Cr  0.999  0.999  0.002
Cr  0.486  0.486  0.020
Cr  0.007  0.486  0.020
Cr  0.486  0.007  0.020
S  0.730  0.730  0.811
S  0.234  0.731  0.801
S  0.766  0.766  0.206
S  0.262  0.766  0.206
S  0.234  0.234  0.801
S  0.731  0.234  0.801
S  0.766  0.262  0.206
S  0.257  0.257  0.229

***

Record 7
# LiCr3S

A geometry-optimized LiCr3S structure (GGA-PBEsol, Alexandria).

Calculated values
Spin magnetization in μB per cell: 7.3
Symmetry: Pm-3m
Raw total energy in Ry per atom: -0.4332
Formation energy from raw total energies in kJ/mol of formula units: 734
Crystal system: cubic

a = 4.037 Å, b = 4.037 Å, c = 4.037 Å
α = 90.00°, β = 90.00°, γ = 90.00°
Sites, in units of the cell vectors:
Cr  0.000  0.500  0.000
Cr  0.000  0.000  0.500
Cr  0.500  0.000  0.000
S  0.500  0.500  0.500
Li  0.000  0.000  0.000

***

Record 8
# Li5CrS4

A geometry-optimized Li5CrS4 structure (GGA-PBEsol, Alexandria).

Calculated values
Spin magnetization in μB per cell: 3.0
Symmetry: Immm
Raw total energy in Ry per atom: -0.3577
Formation energy from raw total energies in kJ/mol of formula units: -1066
Crystal system: orthorhombic

a = 3.673 Å, b = 6.640 Å, c = 7.511 Å
α = 116.23°, β = 104.15°, γ = 90.00°
Sites, in units of the cell vectors:
Cr  0.500  0.000  0.000
S  0.000  0.243  0.000
S  0.695  0.195  0.391
S  0.305  0.805  0.609
S  0.000  0.757  0.000
Li  0.177  0.958  0.355
Li  0.177  0.397  0.355
Li  0.823  0.603  0.645
Li  0.823  0.042  0.645
Li  0.500  0.500  0.000